First-principles (PBE) data for MnGaMoP after structural relaxation, as listed in the Alexandria database.

abc: 3.836 3.836 6.538
angles: 106.20 106.20 44.10
Sites, in units of the cell vectors:
Mn (0.000, 0.000, 0.000)
Ga (0.813, 0.813, 0.566)
Mo (0.303, 0.303, 0.224)
P (0.663, 0.663, 0.864)

E_form: 0.069 eV/atom
total energy: -28.161 eV per cell
symmetry: Cm
distance to the lowest polymorph of the same formula: 0.332 eV/atom



First-principles (PBE) data for Ti6Zn2Pb after structural relaxation, as listed in the Alexandria database.

abc: 8.029 8.029 2.865
angles: 94.60 94.60 116.55
Sites, in units of the cell vectors:
Ti (0.150, 0.509, 0.288)
Ti (0.167, 0.833, 0.000)
Ti (0.491, 0.850, 0.712)
Ti (0.509, 0.150, 0.288)
Ti (0.833, 0.167, 0.000)
Ti (0.850, 0.491, 0.712)
Zn (0.158, 0.158, 0.618)
Zn (0.842, 0.842, 0.382)
Pb (0.500, 0.500, 0.500)

E_form: 0.041 eV/atom
total energy: -53.260 eV per cell
symmetry: C2/m



First-principles (PBE) data for La2AlAs after structural relaxation, as listed in the Alexandria database.

abc: 3.576 3.576 8.616
angles: 90.00 90.00 90.08
Sites, in units of the cell vectors:
La (0.000, 0.000, 0.000)
La (0.500, 0.500, 0.388)
Al (0.000, 0.000, 0.635)
As (0.500, 0.500, 0.762)

E_form: -0.395 eV/atom
total energy: -19.828 eV per cell
symmetry: Cmm2
distance to the lowest polymorph of the same formula: 0.445 eV/atom



First-principles (PBE) data for Ho2Al9Cu3 after structural relaxation, as listed in the Alexandria database.

abc: 7.543 7.543 10.669
angles: 111.42 111.42 59.54
Sites, in units of the cell vectors:
Ho (0.086, 0.251, 0.249)
Ho (0.251, 0.086, 0.749)
Ho (0.749, 0.914, 0.251)
Ho (0.914, 0.749, 0.751)
Al (0.022, 0.857, 0.069)
Al (0.143, 0.978, 0.431)
Al (0.190, 0.357, 0.567)
Al (0.210, 0.583, 0.251)
Al (0.314, 0.482, 0.943)
Al (0.357, 0.190, 0.067)
Al (0.369, 0.631, 0.750)
Al (0.417, 0.790, 0.249)
Al (0.482, 0.314, 0.443)
Al (0.518, 0.686, 0.557)
Al (0.583, 0.210, 0.751)
Al (0.631, 0.369, 0.250)
Al (0.643, 0.810, 0.933)
Al (0.686, 0.518, 0.057)
Al (0.790, 0.417, 0.749)
Al (0.810, 0.643, 0.433)
Al (0.857, 0.022, 0.569)
Al (0.978, 0.143, 0.931)
Cu (0.000, 0.500, 0.000)
Cu (0.159, 0.670, 0.498)
Cu (0.330, 0.841, 0.002)
Cu (0.500, 0.000, 0.500)
Cu (0.670, 0.159, 0.998)
Cu (0.841, 0.330, 0.502)

E_form: -0.288 eV/atom
total energy: -118.332 eV per cell
symmetry: C2/c



First-principles (PBE) data for NdLuTlPb after structural relaxation, as listed in the Alexandria database.

abc: 5.449 5.449 5.449
angles: 60.00 60.00 60.00
Sites, in units of the cell vectors:
Nd (0.000, 0.000, 0.000)
Lu (0.500, 0.500, 0.500)
Tl (0.250, 0.250, 0.250)
Pb (0.750, 0.750, 0.750)

E_form: -0.335 eV/atom
total energy: -16.703 eV per cell
symmetry: F-43m



First-principles (PBE) data for Re2AuSe after structural relaxation, as listed in the Alexandria database.

abc: 5.515 5.515 5.515
angles: 148.54 131.37 59.07
Sites, in units of the cell vectors:
Re (0.212, 0.212, 0.000)
Re (0.788, 0.788, 0.000)
Au (0.500, 0.000, 0.500)
Se (0.000, 0.500, 0.500)

total energy: -28.631 eV per cell
symmetry: Immm
formation energy without anion corrections: 3.03 eV per formula unit



First-principles (PBE) data for CrCuCl after structural relaxation, as listed in the Alexandria database.

abc: 6.316 6.054 3.109
angles: 80.17 70.82 29.01
Sites, in units of the cell vectors:
Cr (0.000, 0.000, 0.000)
Cu (0.652, 0.652, 0.348)
Cl (0.357, 0.357, 0.643)

total energy: -14.880 eV per cell
symmetry: Fmm2
distance to the lowest polymorph of the same formula: 0.071 eV/atom
formation energy without anion corrections: 0.69 eV per formula unit



First-principles (PBE) data for Y3Ta after structural relaxation, as listed in the Alexandria database.

abc: 4.768 4.768 4.768
angles: 90.00 90.00 90.00
Sites, in units of the cell vectors:
Y (0.000, 0.000, 0.500)
Y (0.000, 0.500, 0.000)
Y (0.500, 0.000, 0.000)
Ta (0.500, 0.500, 0.500)

E_form: 0.362 eV/atom
total energy: -29.797 eV per cell
symmetry: Pm-3m
distance to the lowest polymorph of the same formula: 0.093 eV/atom



First-principles (PBE) data for AcTb8Pr3 after structural relaxation, as listed in the Alexandria database.

abc: 8.882 8.882 8.882
angles: 137.59 98.61 96.43
Sites, in units of the cell vectors:
Ac (0.000, 0.000, 0.000)
Tb (0.073, 0.822, 0.251)
Tb (0.258, 0.011, 0.753)
Tb (0.258, 0.505, 0.247)
Tb (0.429, 0.178, 0.251)
Tb (0.571, 0.822, 0.749)
Tb (0.742, 0.495, 0.753)
Tb (0.742, 0.989, 0.247)
Tb (0.927, 0.178, 0.749)
Pr (0.256, 0.500, 0.756)
Pr (0.500, 0.000, 0.500)
Pr (0.744, 0.500, 0.244)

E_form: 0.291 eV/atom
total energy: -51.993 eV per cell
symmetry: Immm



First-principles (PBE) data for K2MnBr2Cl4 after structural relaxation, as listed in the Alexandria database.

abc: 7.141 7.141 7.141
angles: 120.06 120.06 89.90
Sites, in units of the cell vectors:
K (0.250, 0.750, 0.500)
K (0.750, 0.250, 0.500)
Mn (0.000, 0.000, 0.000)
Br (0.245, 0.245, 0.000)
Br (0.755, 0.755, 0.000)
Cl (0.226, 0.226, 0.453)
Cl (0.226, 0.774, 0.000)
Cl (0.774, 0.226, 0.000)
Cl (0.774, 0.774, 0.547)

total energy: -33.835 eV per cell
symmetry: I4/mmm
formation energy without anion corrections: -11.74 eV per formula unit



First-principles (PBE) data for La4TbY2 after structural relaxation, as listed in the Alexandria database.

abc: 12.794 6.910 13.781
angles: 67.15 29.85 83.01
Sites, in units of the cell vectors:
La (0.025, 0.975, 0.118)
La (0.132, 0.368, 0.225)
La (0.368, 0.132, 0.275)
La (0.455, 0.603, 0.259)
La (0.567, 0.991, 0.647)
La (0.603, 0.455, 0.683)
La (0.975, 0.025, 0.882)
La (0.991, 0.567, 0.795)
Tb (0.496, 0.496, 0.504)
Tb (0.746, 0.746, 0.754)
Y (0.059, 0.538, 0.007)
Y (0.243, 0.854, 0.191)
Y (0.538, 0.059, 0.396)
Y (0.854, 0.243, 0.712)

E_form: 0.069 eV/atom
total energy: -73.575 eV per cell
symmetry: Fdd2
distance to the lowest polymorph of the same formula: 0.000 eV/atom



First-principles (PBE) data for CsSeBr3 after structural relaxation, as listed in the Alexandria database.

abc: 8.306 8.306 7.498
angles: 90.00 90.00 118.04
Sites, in units of the cell vectors:
Cs (0.111, 0.889, 0.750)
Cs (0.889, 0.111, 0.250)
Se (0.374, 0.626, 0.750)
Se (0.626, 0.374, 0.250)
Br (0.059, 0.332, 0.750)
Br (0.332, 0.059, 0.250)
Br (0.500, 0.500, 0.000)
Br (0.500, 0.500, 0.500)
Br (0.668, 0.941, 0.750)
Br (0.941, 0.668, 0.250)

total energy: -26.276 eV per cell
symmetry: Cmcm
formation energy without anion corrections: -3.78 eV per formula unit